No. 1
The following is a PBE calculation of LiCoRh2 after structural relaxation, from Alexandria.

Cell lengths 4.2160, 4.2160, 4.2160 Å; angles 60.00, 60.00, 60.00 degrees
Site moments in Bohr magnetons follow the coordinates.
Sites, in units of the cell vectors:
Rh1 0.2500 0.2500 0.2500  1.08
Li1 0.7500 0.7500 0.7500  -0.02
Rh2 0.0000 0.0000 0.0000  0.84
Co1 0.5000 0.5000 0.5000  1.92

Values from the calculation:
Energy relative to the elements (eV per formula unit): 0.48
Density (g/cm3): 8.514
V (Å³/cell): 53.0
M_tot (μB per formula unit): 3.763
SG: F-43m, No. 216
ΔE to the lowest computed polymorph (eV per atom): 0.1568
Total energy (eV per atom): -5.81

No. 2
The following is a PBE calculation of LiCo2Rh after structural relaxation, from Alexandria.

Cell lengths 4.8325, 4.8325, 4.8325 Å; angles 146.16, 128.06, 63.44 degrees
Site moments in Bohr magnetons follow the coordinates.
Sites, in units of the cell vectors:
Rh1 0.2428 0.7428 0.5000  0.73
Co1 0.9890 0.9890 0.0000  1.84
Co2 0.7617 0.2617 0.5000  1.79
Li1 0.5064 0.5064 0.0000  -0.04

Values from the calculation:
Energy relative to the elements (eV per formula unit): 0.30
Density (g/cm3): 7.727
V (Å³/cell): 48.9
M_tot (μB per formula unit): 4.199
SG: Imm2, No. 44
Total energy (eV per atom): -5.79

No. 3
The following is a PBE calculation of Li2CoRh2 after structural relaxation, from Alexandria.

Cell lengths 6.4024, 6.4024, 2.9247 Å; angles 90.00, 90.00, 90.00 degrees
Site moments in Bohr magnetons follow the coordinates.
Sites, in units of the cell vectors:
Li1 0.8850 0.6150 0.0000  -0.03
Co1 0.0000 0.0000 0.0000  1.96
Li2 0.3850 0.8850 0.0000  -0.03
Rh1 0.8112 0.3112 0.5000  0.56
Rh2 0.1888 0.6888 0.5000  0.56
Rh3 0.3112 0.1888 0.5000  0.55
Rh4 0.6888 0.8112 0.5000  0.55
Co2 0.5000 0.5000 0.0000  1.95
Li3 0.1150 0.3850 0.0000  -0.03
Li4 0.6150 0.1150 0.0000  -0.03

Values from the calculation:
Energy relative to the elements (eV per formula unit): 0.86
Density (g/cm3): 7.719
V (Å³/cell): 119.9
M_tot (μB per formula unit): 2.898
SG: P4/mbm, No. 127
ΔE to the lowest computed polymorph (eV per atom): 0.0000
Total energy (eV per atom): -4.95

No. 4
The following is a PBE calculation of LiCoRh after structural relaxation, from Alexandria.

Cell lengths 4.0772, 4.0772, 2.5947 Å; angles 90.00, 90.00, 120.00 degrees
Site moments in Bohr magnetons follow the coordinates.
Sites, in units of the cell vectors:
Rh1 0.3333 0.6667 0.6694  0.82
Co1 0.0000 0.0000 0.0253  1.86
Li1 0.6667 0.3333 0.3053  -0.03

Values from the calculation:
Energy relative to the elements (eV per formula unit): 0.15
Density (g/cm3): 7.503
V (Å³/cell): 37.4
M_tot (μB per formula unit): 2.595
SG: P3m1, No. 156
ΔE to the lowest computed polymorph (eV per atom): 0.0011
Total energy (eV per atom): -5.41

No. 5
The following is a PBE calculation of LiCo2Rh2 after structural relaxation, from Alexandria.

Cell lengths 7.2106, 7.2106, 2.6440 Å; angles 90.00, 90.00, 90.00 degrees
Site moments in Bohr magnetons follow the coordinates.
Sites, in units of the cell vectors:
Rh1 0.6729 0.8271 0.5000  0.63
Co1 0.6208 0.1208 0.0000  1.67
Rh2 0.8271 0.3271 0.5000  0.63
Rh3 0.3271 0.1729 0.5000  0.63
Co2 0.1208 0.3792 0.0000  1.67
Co3 0.3792 0.8792 0.0000  1.67
Co4 0.8792 0.6208 0.0000  1.67
Rh4 0.1729 0.6729 0.5000  0.63
Li1 0.0000 0.0000 0.0000  -0.02
Li2 0.5000 0.5000 0.0000  -0.02

Values from the calculation:
Energy relative to the elements (eV per formula unit): 0.36
Density (g/cm3): 7.987
V (Å³/cell): 137.5
M_tot (μB per formula unit): 4.510
SG: P4/mbm, No. 127
ΔE to the lowest computed polymorph (eV per atom): 0.0000
Total energy (eV per atom): -6.09

No. 6
The following is a PBE calculation of LiCo2Rh after structural relaxation, from Alexandria.

Cell lengths 8.8083, 8.8083, 8.8083 Å; angles 17.08, 17.08, 17.08 degrees
Site moments in Bohr magnetons follow the coordinates.
Sites, in units of the cell vectors:
Li1 0.2500 0.2500 0.2500  -0.05
Co1 0.4983 0.4983 0.4983  1.82
Rh1 0.7500 0.7500 0.7500  0.94
Co2 0.0017 0.0017 0.0017  1.82

Values from the calculation:
Energy relative to the elements (eV per formula unit): 0.65
Density (g/cm3): 7.353
V (Å³/cell): 51.4
M_tot (μB per formula unit): 4.404
SG: R-3m, No. 166
Total energy (eV per atom): -5.71

No. 7
The following is a PBE calculation of LiCo2Rh after structural relaxation, from Alexandria.

Cell lengths 4.5591, 4.5591, 2.5760 Å; angles 90.00, 90.00, 114.88 degrees
Site moments in Bohr magnetons follow the coordinates.
Sites, in units of the cell vectors:
Co1 0.0000 0.0000 0.0000  1.71
Li1 0.5000 0.0000 0.5000  -0.05
Co2 0.5000 0.5000 0.0000  1.71
Rh1 0.0000 0.5000 0.5000  0.41

Values from the calculation:
Energy relative to the elements (eV per formula unit): 0.33
Density (g/cm3): 7.785
V (Å³/cell): 48.6
M_tot (μB per formula unit): 3.678
SG: Cmmm, No. 65
Total energy (eV per atom): -5.79

No. 8
The following is a PBE calculation of LiCo2Rh after structural relaxation, from Alexandria.

Cell lengths 2.8499, 3.9608, 4.2172 Å; angles 90.00, 90.00, 90.00 degrees
Site moments in Bohr magnetons follow the coordinates.
Sites, in units of the cell vectors:
Rh1 0.0000 0.5000 0.5000  0.59
Li1 0.5000 0.0000 0.5000  -0.04
Co1 0.0000 0.0000 0.0000  1.81
Co2 0.5000 0.5000 0.0000  1.88

Values from the calculation:
Energy relative to the elements (eV per formula unit): 0.31
Density (g/cm3): 7.943
V (Å³/cell): 47.6
M_tot (μB per formula unit): 4.134
SG: Pmmm, No. 47
Total energy (eV per atom): -5.79

No. 9
The following is a PBE calculation of LiCoRh2 after structural relaxation, from Alexandria.

Cell lengths 2.6363, 2.6363, 8.6761 Å; angles 90.00, 90.00, 116.70 degrees
Site moments in Bohr magnetons follow the coordinates.
Sites, in units of the cell vectors:
Rh1 0.0000 0.0000 0.0048  0.61
Rh2 0.0000 0.0000 0.4952  0.61
Co1 0.5000 0.5000 0.2500  2.07
Li1 0.5000 0.5000 0.7500  -0.01

Values from the calculation:
Energy relative to the elements (eV per formula unit): 0.20
Density (g/cm3): 8.375
V (Å³/cell): 53.9
M_tot (μB per formula unit): 3.252
SG: Cmmm, No. 65
ΔE to the lowest computed polymorph (eV per atom): 0.0868
Total energy (eV per atom): -5.88

No. 10
The following is a PBE calculation of LiCoRh2 after structural relaxation, from Alexandria.

Cell lengths 2.9077, 2.9084, 5.9884 Å; angles 90.00, 90.00, 90.00 degrees
Site moments in Bohr magnetons follow the coordinates.
Sites, in units of the cell vectors:
Li1 0.5000 0.5000 0.7500  -0.01
Co1 0.5000 0.5000 0.2500  2.08
Rh1 0.0000 0.0000 0.5036  0.67
Rh2 0.0000 0.0000 0.9964  0.67

Values from the calculation:
Energy relative to the elements (eV per formula unit): 0.09
Density (g/cm3): 8.908
V (Å³/cell): 50.6
M_tot (μB per formula unit): 3.352
SG: P4/mmm, No. 123
ΔE to the lowest computed polymorph (eV per atom): 0.0588
Total energy (eV per atom): -5.91

No. 11
The following is a PBE calculation of LiCo2Rh after structural relaxation, from Alexandria.

Cell lengths 4.0135, 2.5571, 4.8877 Å; angles 74.01, 90.00, 90.00 degrees
Site moments in Bohr magnetons follow the coordinates.
Sites, in units of the cell vectors:
Co1 0.0000 0.0327 0.0080  1.80
Rh1 0.5000 0.7500 0.7500  0.69
Li1 0.5000 0.2500 0.2500  -0.04
Co2 0.0000 0.4673 0.4920  1.80

Values from the calculation:
Energy relative to the elements (eV per formula unit): 0.37
Density (g/cm3): 7.841
V (Å³/cell): 48.2
M_tot (μB per formula unit): 4.136
SG: P2/m, No. 10
Total energy (eV per atom): -5.78

No. 12
The following is a PBE calculation of LiCo2Rh after structural relaxation, from Alexandria.

Cell lengths 2.5604, 2.5604, 8.7650 Å; angles 90.00, 90.00, 116.46 degrees
Site moments in Bohr magnetons follow the coordinates.
Sites, in units of the cell vectors:
Li1 0.5000 0.5000 0.2500  -0.05
Co1 0.0000 0.0000 0.5014  1.85
Rh1 0.5000 0.5000 0.7500  0.69
Co2 0.0000 0.0000 0.9986  1.85

Values from the calculation:
Energy relative to the elements (eV per formula unit): 0.89
Density (g/cm3): 7.351
V (Å³/cell): 51.4
M_tot (μB per formula unit): 4.211
SG: Cmmm, No. 65
Total energy (eV per atom): -5.65

Question: What is the formula in the seventh record?
Answer: LiCo2Rh